{
  "formula": "SbHRh3",
  "functional": "PBE",
  "state": "optimized geometry",
  "lattice": [[5.792, 0.000, 0.000], [-2.896, 5.016, 0.000], [0.000, 0.000, 4.504]],
  "species": ["Sb", "Sb", "H", "H", "Rh", "Rh", "Rh", "Rh", "Rh", "Rh"],
  "frac_coords": [[0.333, 0.667, 0.000], [0.667, 0.333, 0.500], [0.000, 0.000, 0.151], [0.000, 0.000, 0.651], [0.123, 0.338, 0.505], [0.214, 0.877, 0.505], [0.338, 0.214, 0.005], [0.662, 0.786, 0.505], [0.786, 0.123, 0.005], [0.877, 0.662, 0.005]],
  "sg": "P6_3 (173)",
  "total_magnetization_mub_per_atom": 0.00,
  "de_polymorph_mev_per_atom": 76.3
}